Here is a crystal of Ca2PbBr relaxed with PBEsol from Alexandria. Energies are from meta-GGA SCAN.

a = 3.709 Å, b = 5.666 Å, c = 5.667 Å
α = 90.00°, β = 90.00°, γ = 90.00°
Fractional positions:
Ca (0.012, 0.500, 0.000)
Ca (0.012, 0.000, 0.500)
Pb (0.507, 0.000, 0.000)
Br (0.969, 0.500, 0.500)

Results
Total magnetic moment in Bohr magnetons per cell: 0.00
Formation energy without anion corrections in meV/atom: -1217
Excess energy over the best structure of this formula in the dataset in meV/atom: 4.1

***

Here is a crystal of Ca2PbBr relaxed with PBEsol from Alexandria. Energies are from meta-GGA SCAN.

a = 3.770 Å, b = 4.076 Å, c = 8.159 Å
α = 90.04°, β = 90.00°, γ = 90.00°
Fractional positions:
Ca (0.000, 0.500, 0.718)
Ca (0.000, 0.500, 0.282)
Br (0.500, 0.500, 0.000)
Pb (0.500, 0.000, 0.500)

Results
Total magnetic moment in Bohr magnetons per cell: 0.00
Formation energy without anion corrections in meV/atom: -1221
Excess energy over the best structure of this formula in the dataset in meV/atom: 0.0

***

Here is a crystal of CaPt2PbBr relaxed with PBEsol from Alexandria. Energies are from meta-GGA SCAN.

a = 4.870 Å, b = 4.870 Å, c = 5.073 Å
α = 90.00°, β = 90.00°, γ = 90.00°
Fractional positions:
Pt (0.500, 0.000, 0.000)
Pt (0.000, 0.500, 0.000)
Br (0.000, 0.000, 0.000)
Ca (0.000, 0.000, 0.500)
Pb (0.500, 0.500, 0.500)

Results
Total magnetic moment in Bohr magnetons per cell: 0.00
Formation energy without anion corrections in meV/atom: 248

***

Here is a crystal of CaPbSe2Br relaxed with PBEsol from Alexandria. Energies are from meta-GGA SCAN.

a = 5.350 Å, b = 5.361 Å, c = 5.361 Å
α = 90.00°, β = 90.00°, γ = 90.00°
Fractional positions:
Pb (0.500, 0.500, 0.500)
Se (0.000, 0.000, 0.500)
Se (0.000, 0.500, 0.000)
Br (0.500, 0.000, 0.000)
Ca (0.000, 0.000, 0.000)

Results
Total magnetic moment in Bohr magnetons per cell: 0.74
Formation energy without anion corrections in meV/atom: -669

***

Here is a crystal of CaPdBr3 relaxed with PBEsol from Alexandria. Energies are from meta-GGA SCAN.

a = 5.107 Å, b = 5.107 Å, c = 5.107 Å
α = 90.00°, β = 90.00°, γ = 90.00°
Fractional positions:
Br (0.000, 0.500, 0.000)
Br (0.000, 0.000, 0.500)
Br (0.500, 0.000, 0.000)
Ca (0.500, 0.500, 0.500)
Pd (0.000, 0.000, 0.000)

Results
Total magnetic moment in Bohr magnetons per cell: 0.00
Formation energy without anion corrections in meV/atom: -957
Excess energy over the best structure of this formula in the dataset in meV/atom: 0.0

***

Here is a crystal of CaPdBr3 relaxed with PBEsol from Alexandria. Energies are from meta-GGA SCAN.

a = 5.470 Å, b = 5.470 Å, c = 5.470 Å
α = 90.00°, β = 90.00°, γ = 90.00°
Fractional positions:
Br (0.000, 0.000, 0.500)
Br (0.000, 0.500, 0.000)
Br (0.500, 0.000, 0.000)
Pd (0.500, 0.500, 0.500)
Ca (0.000, 0.000, 0.000)

Results
Total magnetic moment in Bohr magnetons per cell: 1.03
Formation energy without anion corrections in meV/atom: -710
Excess energy over the best structure of this formula in the dataset in meV/atom: 246.8

***

> Among the records above, which one has the highest formation energy without anion corrections?

CaPt2PbBr

***

> What is the total magnetic moment in the third record?

0.00 Bohr magnetons per cell

***

> Which of these has the highest formation energy without anion corrections?

CaPt2PbBr

***

> The highest total magnetic moment belongs to which entry?

number 6